(1)
First-principles (GGA-PBE) data for a relaxed structure of LuCdCoSi, as listed in the Open Quantum Materials Database.

It has space group F-43m (No. 216), with a = 6.503 Å, b = 6.503 Å, c = 6.503 Å, α = 90.00°, β = 90.00° and γ = 90.00°. The inequivalent atoms are Lu at (0.000, 0.000, 0.000), Cd at (0.250, 0.250, 0.750), Co at (0.000, 0.000, 0.500) and Si at (0.250, 0.250, 0.250).

Its theoretical density is 9.0 g/cm3. The calculation puts the total magnetic moment at 0.2 μB/f.u. As for the total energy: -4.52 eV/atom.


(2)
First-principles (GGA-PBE) data for a relaxed structure of LuCdCoSn, as listed in the Open Quantum Materials Database.

It has space group F-43m (No. 216), with a = 6.783 Å, b = 6.783 Å, c = 6.783 Å, α = 90.00°, β = 90.00° and γ = 90.00°. The inequivalent atoms are Lu at (0.000, 0.000, 0.000), Cd at (0.250, 0.250, 0.750), Co at (0.000, 0.000, 0.500) and Sn at (0.250, 0.250, 0.250).

Its theoretical density is 9.9 g/cm3. The calculation puts the total magnetic moment at 0.3 μB/f.u. As for the total energy: -4.17 eV/atom.


(3)
First-principles (GGA-PBE) data for a relaxed structure of LuCdCoSn, as listed in the Open Quantum Materials Database.

It has space group F-43m (No. 216), with a = 6.738 Å, b = 6.738 Å, c = 6.738 Å, α = 90.00°, β = 90.00° and γ = 90.00°. The inequivalent atoms are Lu at (0.000, 0.000, 0.000), Cd at (0.250, 0.250, 0.250), Co at (0.250, 0.250, 0.750) and Sn at (0.000, 0.000, 0.500).

Its theoretical density is 10.1 g/cm3. The calculation puts the total magnetic moment at 0.1 μB/f.u. As for the total energy: -4.19 eV/atom.


(4)
First-principles (GGA-PBE) data for a relaxed structure of LuZnCdCo, as listed in the Open Quantum Materials Database.

It has space group F-43m (No. 216), with a = 6.554 Å, b = 6.554 Å, c = 6.554 Å, α = 90.00°, β = 90.00° and γ = 90.00°. The inequivalent atoms are Lu at (0.000, 0.000, 0.000), Zn at (0.250, 0.250, 0.250), Cd at (0.250, 0.250, 0.750) and Co at (0.000, 0.000, 0.500).

Its theoretical density is 9.7 g/cm3. The value obtained for the formation energy is 0.129 eV/f.u. The calculation puts the total magnetic moment at 1.1 μB/f.u.


(5)
First-principles (GGA-PBE) data for a relaxed structure of LuZnCdCo, as listed in the Open Quantum Materials Database.

It has space group F-43m (No. 216), with a = 6.577 Å, b = 6.577 Å, c = 6.577 Å, α = 90.00°, β = 90.00° and γ = 90.00°. The inequivalent atoms are Lu at (0.000, 0.000, 0.000), Zn at (0.000, 0.000, 0.500), Cd at (0.250, 0.250, 0.250) and Co at (0.250, 0.250, 0.750).

Its theoretical density is 9.6 g/cm3. The value obtained for the formation energy is 0.025 eV/f.u. The calculation puts the total magnetic moment at 0.9 μB/f.u.


(6)
First-principles (GGA-PBE) data for a relaxed structure of MgCdCo2P4, as listed in the Open Quantum Materials Database.

It has space group I-4 (No. 82), with a = 5.477 Å, b = 5.477 Å, c = 10.446 Å, α = 90.00°, β = 90.00° and γ = 90.00°. The inequivalent atoms are Mg at (0.000, 0.000, 0.000), Cd at (0.000, 0.500, 0.750), Co at (0.000, 0.000, 0.500), Co at (0.000, 0.500, 0.250) and P at (0.174, 0.747, 0.377).

Its theoretical density is 4.0 g/cm3. The calculation puts the total magnetic moment at 0.0 μB/f.u. As for the total energy: -4.86 eV/atom.


(7)
First-principles (GGA-PBE) data for a relaxed structure of MgCdCoPb, as listed in the Open Quantum Materials Database.

It has space group F-43m (No. 216), with a = 6.712 Å, b = 6.712 Å, c = 6.712 Å, α = 90.00°, β = 90.00° and γ = 90.00°. The inequivalent atoms are Mg at (0.000, 0.000, 0.000), Cd at (0.250, 0.250, 0.750), Co at (0.000, 0.000, 0.500) and Pb at (0.250, 0.250, 0.250).

Its theoretical density is 8.8 g/cm3. The calculation puts the total magnetic moment at 0.0 μB/f.u. As for the total energy: -3.02 eV/atom.


(8)
First-principles (GGA-PBE) data for a relaxed structure of MgCdCoSb, as listed in the Open Quantum Materials Database.

It has space group F-43m (No. 216), with a = 6.658 Å, b = 6.658 Å, c = 6.658 Å, α = 90.00°, β = 90.00° and γ = 90.00°. The inequivalent atoms are Mg at (0.000, 0.000, 0.000), Cd at (0.250, 0.250, 0.750), Co at (0.000, 0.000, 0.500) and Sb at (0.250, 0.250, 0.250).

Its theoretical density is 7.1 g/cm3. The calculation puts the total magnetic moment at 0.0 μB/f.u. As for the total energy: -3.23 eV/atom.


(9)
First-principles (GGA-PBE) data for a relaxed structure of MgCdCoSe3, as listed in the Open Quantum Materials Database.

It has space group Cmcm (No. 63), with a = 3.780 Å, b = 12.584 Å, c = 10.710 Å, α = 90.00°, β = 90.00° and γ = 90.00°. The inequivalent atoms are Mg at (0.000, 0.232, 0.250), Cd at (0.000, 0.000, 0.000), Co at (0.000, 0.475, 0.750), Se at (0.000, 0.095, 0.750) and Se at (0.000, 0.349, 0.581).

Its theoretical density is 5.6 g/cm3. The calculation puts the total magnetic moment at 2.8 μB/f.u. As for the total energy: -3.72 eV/atom.


(10)
First-principles (GGA-PBE) data for a relaxed structure of MgCdCoSe3, as listed in the Open Quantum Materials Database.

It has space group Cmcm (No. 63), with a = 3.591 Å, b = 14.480 Å, c = 10.728 Å, α = 90.00°, β = 90.00° and γ = 90.00°. The inequivalent atoms are Mg at (0.000, 0.184, 0.250), Cd at (0.000, 0.452, 0.250), Co at (0.000, 0.000, 0.000), Se at (0.000, 0.187, 0.750) and Se at (0.000, 0.407, 0.574).

Its theoretical density is 5.1 g/cm3. The calculation puts the total magnetic moment at 1.1 μB/f.u. As for the total energy: -3.65 eV/atom.


(11)
First-principles (GGA-PBE) data for a relaxed structure of MgCdCoTe3, as listed in the Open Quantum Materials Database.

It has space group Cmcm (No. 63), with a = 4.027 Å, b = 13.351 Å, c = 11.486 Å, α = 90.00°, β = 90.00° and γ = 90.00°. The inequivalent atoms are Mg at (0.000, 0.221, 0.250), Cd at (0.000, 0.000, 0.000), Co at (0.000, 0.467, 0.750), Te at (0.000, 0.085, 0.750) and Te at (0.000, 0.345, 0.577).

Its theoretical density is 6.2 g/cm3. The calculation puts the total magnetic moment at 2.1 μB/f.u. As for the total energy: -3.31 eV/atom.


(12)
First-principles (GGA-PBE) data for a relaxed structure of MgCdCoTe3, as listed in the Open Quantum Materials Database.

It has space group Cmcm (No. 63), with a = 3.936 Å, b = 13.770 Å, c = 11.334 Å, α = 90.00°, β = 90.00° and γ = 90.00°. The inequivalent atoms are Mg at (0.000, 0.199, 0.250), Cd at (0.000, 0.497, 0.750), Co at (0.000, 0.000, 0.000), Te at (0.000, 0.146, 0.750) and Te at (0.000, 0.378, 0.547).

Its theoretical density is 6.3 g/cm3. The calculation puts the total magnetic moment at 1.4 μB/f.u. As for the total energy: -3.22 eV/atom.